Density functional theory data (PBE) for a relaxed structure of NaSrBe2Al.

Values from the calculation:
Calculated volume: 25.61 Å³ per atom
ΔH_f (0 K): 1303 meV/atom

Cell lengths 4.8526, 4.8526, 5.4385 Å; angles 90.00, 90.00, 90.00 degrees
Closest atoms and distances in Å follow each position.
Sites, in units of the cell vectors:
1 Na 0.0000 0.0000 0.0000  4 Be 2.43
2 Sr 0.0000 0.0000 0.5000  2 Na 2.72
3 Be 0.0000 0.5000 0.0000  2 Na 2.43
4 Be 0.5000 0.0000 0.0000  2 Na 2.43
5 Al 0.5000 0.5000 0.5000  4 Sr 3.43, 8 Be 3.64